Record 1
Entry from Alexandria: a relaxed structure of Cr3CdPb (PBE).

Energy of formation from the pure elements = 133 kJ/mol of atoms
Fermi-level density of states = 0.72 states/eV per atom
VASP energy = -26.58 eV per cell

Cell: 5.1236 5.1236 5.1236 Å, 90.00 90.00 90.00°
Closest atoms and distances in Å follow each position.
Space group Pm-3m (No. 221)
One atom of each set of equivalent atoms:
Cr 0.0000 0.0000 0.5000 x3  2 Cd 2.56
Cd 0.0000 0.0000 0.0000 x1  6 Cr 2.56
Pb 0.5000 0.5000 0.5000 x1  12 Cr 3.62



Record 2
Entry from Alexandria: a relaxed structure of LiAs2W (PBE).

Energy of formation from the pure elements = 28 kJ/mol of atoms
Fermi-level density of states = 0.52 states/eV per atom
VASP energy = -23.01 eV per cell

Cell: 3.1529 4.0294 5.0544 Å, 90.00 90.00 90.00°
Closest atoms and distances in Å follow each position.
Space group Pmmm (No. 47)
One atom of each set of equivalent atoms:
Li 0.0000 0.0000 0.0000 x1  4 As 2.56
As 0.0000 0.5000 0.5000 x1  4 W 2.56
As 0.5000 0.5000 0.0000 x1  4 Li 2.56
W 0.5000 0.0000 0.5000 x1  4 As 2.56



Record 3
Entry from Alexandria: a relaxed structure of NaPmMg (PBE).

Energy of formation from the pure elements = 11 kJ/mol of atoms
Fermi-level density of states = 0.80 states/eV per atom
VASP energy = -7.31 eV per cell

Cell: 5.5605 5.5605 3.3227 Å, 90.00 90.00 120.00°
Closest atoms and distances in Å follow each position.
Space group P3m1 (No. 156)
One atom of each set of equivalent atoms:
Na 0.0000 0.0000 0.0000 x1  3 Mg 3.21, 2 Na 3.32
Pm 0.3333 0.6667 0.4987 x1  2 Pm 3.32, 6 Na 3.61-3.62, 6 Mg 3.61-3.62
Mg 0.6667 0.3333 0.9974 x1  3 Na 3.21, 2 Mg 3.32



Record 4
Entry from Alexandria: a relaxed structure of Dy3SeBr7 (PBE).

Fermi-level density of states = 0.00 states/eV per atom
Energy relative to the elements, uncorrected = -1861 meV per atom
VASP energy = -49.47 eV per cell

Cell: 8.3037 8.3037 7.0062 Å, 90.00 90.00 120.00°
Closest atoms and distances in Å follow each position.
Space group P3m1 (No. 156)
One atom of each set of equivalent atoms:
Dy 0.0122 0.5061 0.0000 x3  1 Se 2.77, 5 Br 2.82-2.99
Se 0.3333 0.6667 0.7816 x1  3 Dy 2.77
Br 0.1731 0.3461 0.2322 x3  2 Dy 2.82
Br 0.3477 0.1738 0.7880 x3  2 Dy 2.82
Br 0.6667 0.3333 0.2366 x1  3 Dy 2.99



Record 5
Entry from Alexandria: a relaxed structure of ScUAlRe (PBE).

Energy of formation from the pure elements = -1 kJ/mol of atoms
Fermi-level density of states = 1.38 states/eV per atom
VASP energy = -135.49 eV per cell

Cell: 6.6266 6.6266 6.6266 Å, 90.00 90.00 90.00°
Closest atoms and distances in Å follow each position.
Space group F-43m (No. 216)
One atom of each set of equivalent atoms:
Sc 0.0000 0.0000 0.0000 x4  4 U 2.87, 4 Al 2.87
U 0.2500 0.2500 0.2500 x4  4 Re 2.87, 4 Sc 2.87
Al 0.2500 0.2500 0.7500 x4  4 Re 2.87, 4 Sc 2.87
Re 0.0000 0.0000 0.5000 x4  4 U 2.87, 4 Al 2.87



- Among the records above, which one has the highest Fermi-level density of states?
  ScUAlRe